(P)
Compound: VPdI2O
Source: Alexandria
Functional: GGA+U
Structure: relaxed

The structure in CIF format:
```
data_VPdI2O
_chemical_formula_sum 'V1 Pd1 I2 O1'
_symmetry_space_group_name_H-M 'P 1'
_symmetry_Int_Tables_number 1
_cell_length_a 5.612
_cell_length_b 5.612
_cell_length_c 3.659
_cell_angle_alpha 90.00
_cell_angle_beta 90.00
_cell_angle_gamma 90.00
loop_
_symmetry_equiv_pos_as_xyz
'x,y,z'
loop_
_atom_site_label
_atom_site_fract_x
_atom_site_fract_y
_atom_site_fract_z
_atom_site_occupancy
O1 0.000 0.000 0.500 1
I1 0.000 0.500 0.000 1
I2 0.500 0.000 0.000 1
V1 0.000 0.000 0.000 1
Pd1 0.500 0.500 0.500 1
```

The density of states at the Fermi level comes out at 3.86 states/eV/cell.


(Q)
Compound: VPdI2O
Source: Alexandria
Functional: GGA+U
Structure: relaxed

The structure in CIF format:
```
data_VPdI2O
_chemical_formula_sum 'V1 Pd1 I2 O1'
_symmetry_space_group_name_H-M 'P 1'
_symmetry_Int_Tables_number 1
_cell_length_a 5.627
_cell_length_b 5.627
_cell_length_c 3.885
_cell_angle_alpha 90.00
_cell_angle_beta 90.00
_cell_angle_gamma 90.00
loop_
_symmetry_equiv_pos_as_xyz
'x,y,z'
loop_
_atom_site_label
_atom_site_fract_x
_atom_site_fract_y
_atom_site_fract_z
_atom_site_occupancy
O1 0.000 0.000 0.500 1
V1 0.500 0.500 0.500 1
I1 0.500 0.000 0.000 1
I2 0.000 0.500 0.000 1
Pd1 0.000 0.000 0.000 1
```

The density of states at the Fermi level comes out at 3.84 states/eV/cell.


In terms of stability, (P) leads; the second structure lies 78.0 kJ/mol of atoms higher.


(P)
Compound: PdWIO2
Source: Alexandria
Functional: GGA+U
Structure: relaxed

The structure in CIF format:
```
data_PdWIO2
_chemical_formula_sum 'Pd1 W1 I1 O2'
_symmetry_space_group_name_H-M 'P 1'
_symmetry_Int_Tables_number 1
_cell_length_a 4.173
_cell_length_b 4.173
_cell_length_c 5.222
_cell_angle_alpha 90.00
_cell_angle_beta 90.00
_cell_angle_gamma 90.00
loop_
_symmetry_equiv_pos_as_xyz
'x,y,z'
loop_
_atom_site_label
_atom_site_fract_x
_atom_site_fract_y
_atom_site_fract_z
_atom_site_occupancy
O1 0.500 0.000 0.000 1
O2 0.000 0.500 0.000 1
W1 0.500 0.500 0.500 1
I1 0.000 0.000 0.500 1
Pd1 0.000 0.000 0.000 1
```

The density of states at the Fermi level comes out at 3.16 states/eV/cell.


(Q)
Compound: PdWIO2
Source: Alexandria
Functional: GGA+U
Structure: relaxed

The structure in CIF format:
```
data_PdWIO2
_chemical_formula_sum 'Pd1 W1 I1 O2'
_symmetry_space_group_name_H-M 'P 1'
_symmetry_Int_Tables_number 1
_cell_length_a 3.878
_cell_length_b 3.878
_cell_length_c 7.463
_cell_angle_alpha 90.00
_cell_angle_beta 90.00
_cell_angle_gamma 90.00
loop_
_symmetry_equiv_pos_as_xyz
'x,y,z'
loop_
_atom_site_label
_atom_site_fract_x
_atom_site_fract_y
_atom_site_fract_z
_atom_site_occupancy
O1 0.500 0.000 0.000 1
O2 0.000 0.500 0.000 1
Pd1 0.500 0.500 0.500 1
W1 0.000 0.000 0.000 1
I1 0.000 0.000 0.500 1
```

The density of states at the Fermi level comes out at 2.63 states/eV/cell.


In terms of stability, (Q) leads; the second structure lies 141.4 kJ/mol of atoms higher.